[1]
VASP calculation (PBE) on an optimized crystal structure of Tb4CePm5.

CIF file:
```
data_Tb4CePm5
_symmetry_space_group_name_H-M 'C 1 2/m 1'
_symmetry_Int_Tables_number 12
_cell_length_a 17.961
_cell_length_b 3.513
_cell_length_c 11.024
_cell_angle_alpha 90.00
_cell_angle_beta 106.92
_cell_angle_gamma 90.00
loop_
_symmetry_equiv_pos_as_xyz
'x,y,z'
'-x,-y,-z'
'-x,y,-z'
'x,-y,z'
'x+1/2,y+1/2,z'
'-x+1/2,-y+1/2,-z'
'-x+1/2,y+1/2,-z'
'x+1/2,-y+1/2,z'
loop_
_atom_site_label
_atom_site_type_symbol
_atom_site_fract_x
_atom_site_fract_y
_atom_site_fract_z
_atom_site_occupancy
Tb1 Tb 0.093 0.000 0.311 1
Tb2 Tb 0.195 0.500 0.581 1
Ce1 Ce 0.000 0.500 0.500 1
Pm1 Pm 0.000 0.500 0.000 1
Pm2 Pm 0.105 0.000 0.784 1
Pm3 Pm 0.206 0.000 0.101 1
```

volume	33.3	Å³ per atom
E	-4.7168	eV per atom

---

[2]
VASP calculation (PBE) on an optimized crystal structure of Tb7CePm12.

CIF file:
```
data_Tb7CePm12
_symmetry_space_group_name_H-M 'R -3'
_symmetry_Int_Tables_number 148
_symmetry_space_group_name_Hall '-R 3'
_cell_length_a 18.7316
_cell_length_b 18.7316
_cell_length_c 6.8201
_cell_angle_alpha 90.00
_cell_angle_beta 90.00
_cell_angle_gamma 120.00
loop_
_atom_site_label
_atom_site_type_symbol
_atom_site_fract_x
_atom_site_fract_y
_atom_site_fract_z
_atom_site_occupancy
Tb1 Tb 0.0000 0.0000 0.0000 1
Tb2 Tb 0.0095 0.8557 0.2862 1
Ce1 Ce 0.0000 0.0000 0.5000 1
Pm1 Pm 0.9998 0.2124 0.2036 1
Pm2 Pm 0.0084 0.4701 0.2400 1
```

volume	34.5	Å³ per atom
polymorph energy (0 for the lowest one)	4.31	kcal/mol of atoms
E	-4.4655	eV per atom

---

Look up the E of the first one. -4.7168 eV per atom

---

Which value of volume does entry 2 give? 34.5 Å³ per atom